First-principles (GGA-PBE) data for a geometry-optimized LaThCuRu structure, as listed in Alexandria.

Summary:
energy of formation from the pure elements: -188 meV per atom
SG: F-43m, No. 216
electronic total energy: -6.62 eV/atom

Cell: 5.0641 5.0641 5.0641 Å, 60.00 60.00 60.00°
Closest atoms and distances in Å follow each position.
Fractional coordinates of all 4 atoms:
La: 0.0000 0.0000 0.0000  4 Ru 3.10, 4 Cu 3.10
Th: 0.5000 0.5000 0.5000  4 Ru 3.10, 4 Cu 3.10
Cu: 0.7500 0.7500 0.7500  4 La 3.10, 4 Th 3.10
Ru: 0.2500 0.2500 0.2500  4 La 3.10, 4 Th 3.10